Ho2MnRuO7 | PBE with a Hubbard U | relaxed

It has space group Imma (No. 74), with a = 7.1380 Å, b = 7.1690 Å, c = 10.1416 Å, α = 90.00°, β = 90.00° and γ = 90.00°. Symmetry generates all atoms from Ho at (0.0000, 0.0000, 0.0000), Ho at (0.2500, 0.2500, 0.2500), Mn at (0.2500, 0.2500, 0.7500), Ru at (0.0000, 0.0000, 0.5000), O at (0.0000, 0.2500, 0.1239), O at (0.0000, 0.2500, 0.4095), O at (0.0000, 0.2500, 0.8302) and O at (0.2114, 0.0423, 0.6257).

For the total energy, the calculation gives -344.0 eV/cell.